This record from the Alexandria database describes a geometry-optimized DyThAu structure. The functional is PBE.

Summary:
Energy of formation from the pure elements: -0.44 eV per atom
Energy above the lowest structure with this stoichiometry: 0 meV per atom
Spin magnetization: 0.00 μB per formula unit

abc: 3.606 3.606 12.591
angles: 90.00 90.00 90.00
Space group I4mm (No. 107)
One atom of each set of equivalent atoms:
Dy: 0.000 0.000 0.000
Th: 0.000 0.000 0.699
Au: 0.000 0.000 0.363

***

This record from the Alexandria database describes a geometry-optimized LiBC structure. The functional is PBE.

Summary:
Energy of formation from the pure elements: 0.06 eV per atom
Spin magnetization: 0.00 μB per formula unit

abc: 2.812 11.591 4.809
angles: 90.00 90.00 90.00
Space group Imm2 (No. 44)
One atom of each set of equivalent atoms:
Li: 0.000 0.000 0.000
Li: 0.000 0.302 0.485
B: 0.000 0.000 0.495
B: 0.000 0.386 0.049
C: 0.000 0.134 0.677
C: 0.000 0.500 0.829